Entry 1:
Here is a geometry-optimized ZrAsOs structure from OQMD via LeMat-Bulk. Energies are from PBE.

total magnetic moment	0.00	μB per formula unit
E_tot	-8.770	eV/atom

a = 6.6046 Å, b = 6.6046 Å, c = 4.0010 Å
α = 90.00°, β = 90.00°, γ = 120.00°
Space group P-62m (No. 189)
One atom of each set of equivalent atoms:
1 Zr 0.0000 0.5798 0.0000 [3 per cell]
2 As 0.0000 0.0000 0.0000 [1 per cell]
3 As 0.3333 0.6667 0.5000 [2 per cell]
4 Os 0.0000 0.2442 0.5000 [3 per cell]

---

Entry 2:
Here is a geometry-optimized ZrAsOs structure from OQMD via LeMat-Bulk. Energies are from PBE.

total magnetic moment	0.00	μB per formula unit
E_tot	-8.530	eV/atom

a = 4.2915 Å, b = 4.2915 Å, c = 6.5945 Å
α = 90.00°, β = 90.00°, γ = 120.00°
Space group P6_3mc (No. 186)
One atom of each set of equivalent atoms:
1 Zr 0.0000 0.0000 0.0000 [2 per cell]
2 As 0.3333 0.6667 0.2232 [2 per cell]
3 Os 0.3333 0.6667 0.8148 [2 per cell]

---

Entry 3:
Here is a geometry-optimized ZrAsOs structure from OQMD via LeMat-Bulk. Energies are from PBE.

total magnetic moment	0.00	μB per formula unit
E_tot	-7.898	eV/atom

a = 6.2676 Å, b = 6.2676 Å, c = 6.2676 Å
α = 90.00°, β = 90.00°, γ = 90.00°
Space group F-43m (No. 216)
One atom of each set of equivalent atoms:
1 Zr 0.0000 0.0000 0.0000 [4 per cell]
2 As 0.2500 0.2500 0.7500 [4 per cell]
3 Os 0.2500 0.2500 0.2500 [4 per cell]

---

Entry 4:
Here is a geometry-optimized ZrAsOs structure from OQMD via LeMat-Bulk. Energies are from PBE.

total magnetic moment	0.02	μB per formula unit
E_tot	-8.260	eV/atom

a = 7.5875 Å, b = 7.5875 Å, c = 3.0922 Å
α = 90.00°, β = 90.00°, γ = 120.00°
Space group P-62m (No. 189)
One atom of each set of equivalent atoms:
1 Zr 0.0000 0.2976 0.0000 [3 per cell]
2 As 0.0000 0.0000 0.5000 [1 per cell]
3 As 0.3333 0.6667 0.0000 [2 per cell]
4 Os 0.0000 0.6397 0.5000 [3 per cell]

---

Entry 5:
Here is a geometry-optimized PaAsP structure from OQMD via LeMat-Bulk. Energies are from PBE.

total magnetic moment	0.00	μB per formula unit
E_tot	-7.530	eV/atom

a = 3.9385 Å, b = 3.9385 Å, c = 15.8787 Å
α = 90.00°, β = 90.00°, γ = 90.00°
Space group I4/mmm (No. 139)
One atom of each set of equivalent atoms:
1 Pa 0.0000 0.0000 0.1439 [4 per cell]
2 As 0.0000 0.5000 0.0000 [4 per cell]
3 P 0.0000 0.0000 0.3188 [4 per cell]

---

Entry 6:
Here is a geometry-optimized As2PPd3 structure from OQMD via LeMat-Bulk. Energies are from PBE.

E_tot	-5.228	eV/atom

a = 3.1117 Å, b = 3.1117 Å, c = 11.5610 Å
α = 90.00°, β = 90.00°, γ = 120.00°
Space group P-3m1 (No. 164)
One atom of each set of equivalent atoms:
1 As 0.3333 0.6667 0.3305 [2 per cell]
2 P 0.0000 0.0000 0.0000 [1 per cell]
3 Pd 0.0000 0.0000 0.5000 [1 per cell]
4 Pd 0.3333 0.6667 0.8521 [2 per cell]

---

Which formula does entry 3 have? ZrAsOs